# NaPuAlO5 (PBE-GGA, relaxed)
data_NaPuAlO5
_space_group_name_H-M_alt 'P 1'
_space_group_IT_number 1
_space_group_name_Hall 'P 1'
_cell_length_a 5.791
_cell_length_b 5.791
_cell_length_c 7.852
_cell_angle_alpha 105.33
_cell_angle_beta 105.33
_cell_angle_gamma 105.14
loop_
_atom_site_label
_atom_site_type_symbol
_atom_site_fract_x
_atom_site_fract_y
_atom_site_fract_z
_atom_site_occupancy
Al1 Al 0.312 0.688 0.750 1
Al2 Al 0.688 0.312 0.250 1
O1 O 0.372 0.242 0.094 1
O2 O 0.079 0.921 0.250 1
O3 O 0.902 0.304 0.124 1
O4 O 0.921 0.079 0.750 1
O5 O 0.098 0.696 0.876 1
O6 O 0.242 0.372 0.594 1
O7 O 0.758 0.628 0.406 1
O8 O 0.696 0.098 0.376 1
O9 O 0.304 0.902 0.624 1
O10 O 0.628 0.758 0.906 1
Pu1 Pu 0.000 0.000 0.000 1
Pu2 Pu 0.000 0.000 0.500 1
Na1 Na 0.335 0.665 0.250 1
Na2 Na 0.665 0.335 0.750 1
# DFT total energy in eV/atom: -8.0411
# Formation energy from raw total energies in eV per formula unit: -20.1
# V in Å³/cell: 228.9
# Space group: C2/c
# N(E_F) in states/eV/f.u.: 4.54

# CeNd2Ti (PBE-GGA, relaxed)
data_CeNd2Ti
_space_group_name_H-M_alt 'P 1'
_space_group_IT_number 1
_space_group_name_Hall 'P 1'
_cell_length_a 3.354
_cell_length_b 3.354
_cell_length_c 12.036
_cell_angle_alpha 81.99
_cell_angle_beta 81.99
_cell_angle_gamma 60.00
loop_
_atom_site_label
_atom_site_type_symbol
_atom_site_fract_x
_atom_site_fract_y
_atom_site_fract_z
_atom_site_occupancy
Ti1 Ti 0.000 0.000 0.000 1
Nd1 Nd 0.084 0.084 0.749 1
Nd2 Nd 0.916 0.916 0.251 1
Ce1 Ce 0.500 0.500 0.500 1
# DFT total energy in eV/atom: -5.3729
# Formation enthalpy at 0 K in eV/atom: 0.4682
# V in Å³/cell: 115.8
# Space group: R-3m
# N(E_F) in states/eV/f.u.: 7.40

# Sr3YZn (PBE-GGA, relaxed)
data_Sr3YZn
_space_group_name_H-M_alt 'P 1'
_space_group_IT_number 1
_space_group_name_Hall 'P 1'
_cell_length_a 6.087
_cell_length_b 6.087
_cell_length_c 6.087
_cell_angle_alpha 90.00
_cell_angle_beta 90.00
_cell_angle_gamma 90.00
loop_
_atom_site_label
_atom_site_type_symbol
_atom_site_fract_x
_atom_site_fract_y
_atom_site_fract_z
_atom_site_occupancy
Sr1 Sr 0.000 0.500 0.000 1
Sr2 Sr 0.500 0.000 0.000 1
Sr3 Sr 0.000 0.000 0.500 1
Zn1 Zn 0.000 0.000 0.000 1
Y1 Y 0.500 0.500 0.500 1
# DFT total energy in eV/atom: -2.3023
# Energy above the most stable polymorph in this dataset in meV per atom: 0.0
# Formation enthalpy at 0 K in eV/atom: 0.2544
# V in Å³/cell: 225.5
# Space group: Pm-3m
# N(E_F) in states/eV/f.u.: 8.65

# KCuBr (PBE-GGA, relaxed)
data_KCuBr
_space_group_name_H-M_alt 'P 1'
_space_group_IT_number 1
_space_group_name_Hall 'P 1'
_cell_length_a 5.110
_cell_length_b 5.110
_cell_length_c 5.110
_cell_angle_alpha 60.00
_cell_angle_beta 60.00
_cell_angle_gamma 60.00
loop_
_atom_site_label
_atom_site_type_symbol
_atom_site_fract_x
_atom_site_fract_y
_atom_site_fract_z
_atom_site_occupancy
Br1 Br 0.500 0.500 0.500 1
K1 K 0.000 0.000 0.000 1
Cu1 Cu 0.750 0.750 0.750 1
# DFT total energy in eV/atom: -2.4035
# Energy above the most stable polymorph in this dataset in meV per atom: 154.7
# Formation energy from raw total energies in eV per formula unit: -0.3
# V in Å³/cell: 94.4
# Space group: F-43m
# N(E_F) in states/eV/f.u.: 1.94

# Cs2SbO3 (PBE-GGA, relaxed)
data_Cs2SbO3
_space_group_name_H-M_alt 'P 1'
_space_group_IT_number 1
_space_group_name_Hall 'P 1'
_cell_length_a 6.445
_cell_length_b 6.929
_cell_length_c 6.929
_cell_angle_alpha 113.32
_cell_angle_beta 90.00
_cell_angle_gamma 90.00
loop_
_atom_site_label
_atom_site_type_symbol
_atom_site_fract_x
_atom_site_fract_y
_atom_site_fract_z
_atom_site_occupancy
Cs1 Cs 0.735 0.199 0.527 1
Cs2 Cs 0.235 0.473 0.801 1
Cs3 Cs 0.235 0.801 0.473 1
Cs4 Cs 0.735 0.527 0.199 1
O1 O 0.008 0.894 0.127 1
O2 O 0.508 0.873 0.106 1
O3 O 0.805 0.676 0.676 1
O4 O 0.508 0.106 0.873 1
O5 O 0.305 0.324 0.324 1
O6 O 0.008 0.127 0.894 1
Sb1 Sb 0.276 0.070 0.070 1
Sb2 Sb 0.776 0.930 0.930 1
# DFT total energy in eV/atom: -4.8389
# Formation energy from raw total energies in eV per formula unit: -8.3
# V in Å³/cell: 284.2
# Space group: Cmc2_1
# N(E_F) in states/eV/f.u.: 1.78

# CaMnSn3 (PBE-GGA, relaxed)
data_CaMnSn3
_space_group_name_H-M_alt 'P 1'
_space_group_IT_number 1
_space_group_name_Hall 'P 1'
_cell_length_a 4.958
_cell_length_b 4.958
_cell_length_c 4.958
_cell_angle_alpha 90.00
_cell_angle_beta 90.00
_cell_angle_gamma 90.00
loop_
_atom_site_label
_atom_site_type_symbol
_atom_site_fract_x
_atom_site_fract_y
_atom_site_fract_z
_atom_site_occupancy
Mn1 Mn 0.000 0.000 0.000 1
Sn1 Sn 0.500 0.000 0.000 1
Sn2 Sn 0.000 0.000 0.500 1
Sn3 Sn 0.000 0.500 0.000 1
Ca1 Ca 0.500 0.500 0.500 1
# DFT total energy in eV/atom: -4.6625
# Energy above the most stable polymorph in this dataset in meV per atom: 0.0
# Formation enthalpy at 0 K in eV/atom: -0.0266
# V in Å³/cell: 121.9
# Space group: Pm-3m
# N(E_F) in states/eV/f.u.: 2.49

Question: Among the records above, which one has the lowest N(E_F)?
Answer: Cs2SbO3

Please write out number 5 again, unchanged.
# Cs2SbO3 (PBE-GGA, relaxed)
data_Cs2SbO3
_space_group_name_H-M_alt 'P 1'
_space_group_IT_number 1
_space_group_name_Hall 'P 1'
_cell_length_a 6.445
_cell_length_b 6.929
_cell_length_c 6.929
_cell_angle_alpha 113.32
_cell_angle_beta 90.00
_cell_angle_gamma 90.00
loop_
_atom_site_label
_atom_site_type_symbol
_atom_site_fract_x
_atom_site_fract_y
_atom_site_fract_z
_atom_site_occupancy
Cs1 Cs 0.735 0.199 0.527 1
Cs2 Cs 0.235 0.473 0.801 1
Cs3 Cs 0.235 0.801 0.473 1
Cs4 Cs 0.735 0.527 0.199 1
O1 O 0.008 0.894 0.127 1
O2 O 0.508 0.873 0.106 1
O3 O 0.805 0.676 0.676 1
O4 O 0.508 0.106 0.873 1
O5 O 0.305 0.324 0.324 1
O6 O 0.008 0.127 0.894 1
Sb1 Sb 0.276 0.070 0.070 1
Sb2 Sb 0.776 0.930 0.930 1
# DFT total energy in eV/atom: -4.8389
# Formation energy from raw total energies in eV per formula unit: -8.3
# V in Å³/cell: 284.2
# Space group: Cmc2_1
# N(E_F) in states/eV/f.u.: 1.78

Question: Look up the DFT total energy of the sixth one.
Answer: -4.6625 eV/atom

Question: What is the N(E_F) in the first record?
Answer: 4.54 states/eV/f.u.